# TcHgTe2I, relaxed, DFT PBE
data_TcHgTe2I
_cell_length_a 5.6092
_cell_length_b 5.6092
_cell_length_c 5.8307
_cell_angle_alpha 90.00
_cell_angle_beta 90.00
_cell_angle_gamma 90.00
_symmetry_space_group_name_H-M 'P 1'
_symmetry_Int_Tables_number 1
loop_
_symmetry_equiv_pos_as_xyz
'x,y,z'
loop_
_atom_site_label
_atom_site_fract_x
_atom_site_fract_y
_atom_site_fract_z
Tc1 0.5000 0.5000 0.5000
Hg1 0.0000 0.0000 0.0000
Te1 0.0000 0.5000 0.0000
Te2 0.5000 0.0000 0.0000
I1 0.0000 0.0000 0.5000
# - polymorph energy (0 for the lowest one) (meV/atom) = 885.8
# - ρ (Mg/m³) = 6.2
# - calculated total energy (eV/atom) = -2.470

***

# Ba4PtO, relaxed, DFT PBE
data_Ba4PtO
_cell_length_a 7.2621
_cell_length_b 7.1067
_cell_length_c 11.2728
_cell_angle_alpha 104.92
_cell_angle_beta 105.40
_cell_angle_gamma 100.33
_symmetry_space_group_name_H-M 'P 1'
_symmetry_Int_Tables_number 1
loop_
_symmetry_equiv_pos_as_xyz
'x,y,z'
loop_
_atom_site_label
_atom_site_fract_x
_atom_site_fract_y
_atom_site_fract_z
Pt1 0.6850 0.4350 0.8700
Pt2 0.3150 0.5650 0.1300
O1 0.8655 0.1155 0.2311
O2 0.1345 0.8845 0.7689
Ba1 0.3799 0.7014 0.8868
Ba2 0.0070 0.1854 0.8868
Ba3 0.3336 0.0606 0.6581
Ba4 0.9930 0.8146 0.1132
Ba5 0.6201 0.2986 0.1132
Ba6 0.6664 0.9394 0.3419
Ba7 0.1755 0.4025 0.3419
Ba8 0.8245 0.5975 0.6581
# - polymorph energy (0 for the lowest one) (meV/atom) = 27.2
# - ρ (Mg/m³) = 4.8
# - calculated total energy (eV/atom) = -4.176

***

# MnCd4Pd5, relaxed, DFT PBE
data_MnCd4Pd5
_cell_length_a 3.0416
_cell_length_b 3.0416
_cell_length_c 18.3805
_cell_angle_alpha 90.00
_cell_angle_beta 90.00
_cell_angle_gamma 90.00
_symmetry_space_group_name_H-M 'P 1'
_symmetry_Int_Tables_number 1
loop_
_symmetry_equiv_pos_as_xyz
'x,y,z'
loop_
_atom_site_label
_atom_site_fract_x
_atom_site_fract_y
_atom_site_fract_z
Cd1 0.0000 0.0000 0.6027
Cd2 0.0000 0.0000 0.1917
Cd3 0.0000 0.0000 0.8083
Cd4 0.0000 0.0000 0.3973
Pd1 0.5000 0.5000 0.0870
Pd2 0.5000 0.5000 0.7053
Pd3 0.5000 0.5000 0.5000
Pd4 0.5000 0.5000 0.2947
Pd5 0.5000 0.5000 0.9130
Mn1 0.0000 0.0000 0.0000
# - ρ (Mg/m³) = 10.1
# - DFT formation energy (eV/atom) = -0.36
# - calculated total energy (eV/atom) = -4.235

***

# Ni2MoH3, relaxed, DFT PBE
data_Ni2MoH3
_cell_length_a 3.5220
_cell_length_b 5.7429
_cell_length_c 9.0098
_cell_angle_alpha 90.00
_cell_angle_beta 90.00
_cell_angle_gamma 90.00
_symmetry_space_group_name_H-M 'P 1'
_symmetry_Int_Tables_number 1
loop_
_symmetry_equiv_pos_as_xyz
'x,y,z'
loop_
_atom_site_label
_atom_site_fract_x
_atom_site_fract_y
_atom_site_fract_z
Mo1 0.2500 0.3609 0.4329
Mo2 0.7500 0.1391 0.9329
Mo3 0.2500 0.8609 0.0671
Mo4 0.7500 0.6391 0.5671
H1 0.2500 0.8134 0.5601
H2 0.7500 0.1866 0.4399
H3 0.7500 0.9132 0.7343
H4 0.2500 0.5868 0.2343
H5 0.7500 0.8250 0.3731
H6 0.7500 0.3250 0.1269
H7 0.7500 0.4132 0.7657
H8 0.2500 0.1750 0.6269
H9 0.2500 0.3134 0.9399
H10 0.2500 0.0868 0.2657
H11 0.2500 0.6750 0.8731
H12 0.7500 0.6866 0.0601
Ni1 0.7500 0.5815 0.2503
Ni2 0.2500 0.3289 0.1252
Ni3 0.7500 0.1711 0.6252
Ni4 0.7500 0.6711 0.8748
Ni5 0.2500 0.9185 0.7503
Ni6 0.2500 0.4185 0.7497
Ni7 0.7500 0.0815 0.2497
Ni8 0.2500 0.8289 0.3748
# - ρ (Mg/m³) = 7.9
# - calculated total energy (eV/atom) = -5.363

***

# Rb2NaCdI6, relaxed, DFT PBE
data_Rb2NaCdI6
_cell_length_a 9.4527
_cell_length_b 8.6805
_cell_length_c 8.6719
_cell_angle_alpha 51.26
_cell_angle_beta 55.40
_cell_angle_gamma 55.42
_symmetry_space_group_name_H-M 'P 1'
_symmetry_Int_Tables_number 1
loop_
_symmetry_equiv_pos_as_xyz
'x,y,z'
loop_
_atom_site_label
_atom_site_fract_x
_atom_site_fract_y
_atom_site_fract_z
Rb1 0.5894 0.5619 0.2970
Rb2 0.0428 0.0703 0.8062
I1 0.5235 0.1300 0.3527
I2 0.9667 0.5768 0.3123
I3 0.1122 0.0095 0.2418
I4 0.6656 0.0554 0.7908
I5 0.5201 0.6230 0.8612
I6 0.1088 0.5022 0.7504
Cd1 0.8162 0.8162 0.5514
Na1 0.3163 0.3163 0.0514
# - ρ (Mg/m³) = 4.1
# - calculated total energy (eV/atom) = -2.293

***

# Sm5UN6, relaxed, DFT PBE
data_Sm5UN6
_cell_length_a 6.1420
_cell_length_b 6.1484
_cell_length_c 6.1450
_cell_angle_alpha 59.98
_cell_angle_beta 80.39
_cell_angle_gamma 70.50
_symmetry_space_group_name_H-M 'P 1'
_symmetry_Int_Tables_number 1
loop_
_symmetry_equiv_pos_as_xyz
'x,y,z'
loop_
_atom_site_label
_atom_site_fract_x
_atom_site_fract_y
_atom_site_fract_z
Sm1 0.5000 0.1669 0.6662
Sm2 0.0000 0.3336 0.3327
Sm3 0.5000 0.8331 0.3338
Sm4 0.5000 0.5000 0.0000
Sm5 0.0000 0.6664 0.6673
N1 0.2333 0.2275 0.0000
N2 0.7672 0.0777 0.3046
N3 0.7672 0.3823 0.6954
N4 0.2328 0.9223 0.6954
N5 0.2328 0.6177 0.3046
N6 0.7667 0.7725 0.0000
U1 0.0000 0.0000 0.0000
# - ρ (Mg/m³) = 9.4
# - calculated total energy (eV/atom) = -8.594

***

# Sc4SnHgO, relaxed, DFT PBE
data_Sc4SnHgO
_cell_length_a 6.1123
_cell_length_b 6.1158
_cell_length_c 8.1710
_cell_angle_alpha 90.00
_cell_angle_beta 111.96
_cell_angle_gamma 90.00
_symmetry_space_group_name_H-M 'P 1'
_symmetry_Int_Tables_number 1
loop_
_symmetry_equiv_pos_as_xyz
'x,y,z'
loop_
_atom_site_label
_atom_site_fract_x
_atom_site_fract_y
_atom_site_fract_z
Sc1 0.0000 0.0000 0.5000
Sc2 0.5782 0.2500 0.1564
Sc3 0.5000 0.0000 0.5000
Sc4 0.5000 0.5000 0.5000
Sc5 0.9106 0.2500 0.8213
Sc6 0.4218 0.7500 0.8436
Sc7 0.0000 0.5000 0.5000
Sc8 0.0894 0.7500 0.1787
Sn1 0.8932 0.7500 0.7865
Sn2 0.1068 0.2500 0.2135
Hg1 0.3867 0.2500 0.7734
Hg2 0.6133 0.7500 0.2266
O1 0.7521 0.2500 0.5041
O2 0.2479 0.7500 0.4959
# - ρ (Mg/m³) = 6.0
# - calculated total energy (eV/atom) = -6.151

***

# La3Ag4Pb2, relaxed, DFT PBE
data_La3Ag4Pb2
_cell_length_a 4.8870
_cell_length_b 6.2627
_cell_length_c 9.4949
_cell_angle_alpha 112.82
_cell_angle_beta 90.00
_cell_angle_gamma 112.96
_symmetry_space_group_name_H-M 'P 1'
_symmetry_Int_Tables_number 1
loop_
_symmetry_equiv_pos_as_xyz
'x,y,z'
loop_
_atom_site_label
_atom_site_fract_x
_atom_site_fract_y
_atom_site_fract_z
Ag1 0.2863 0.5727 0.9598
Ag2 0.7137 0.4273 0.0402
Ag3 0.9196 0.8392 0.5782
Ag4 0.0804 0.1608 0.4218
Pb1 0.3786 0.7571 0.7173
Pb2 0.6214 0.2429 0.2827
La1 0.0000 0.0000 0.0000
La2 0.6562 0.3124 0.6758
La3 0.3438 0.6876 0.3242
# - ρ (Mg/m³) = 8.6
# - DFT formation energy (eV/atom) = -0.40
# - calculated total energy (eV/atom) = -4.130

***

Question: Which value of ρ does entry 2 give?
Answer: 4.8 Mg/m³